No. 1
This record from the Alexandria database describes a geometry-optimized La2Tb2Pr4Sm structure. The functional is PBE.

As for the space-group type: C2/m. Its energy is -0.3502 Ry per atom.

abc: 9.8028 9.8028 9.8575
angles: 115.26 115.26 21.86
Fractional coordinates of all 9 atoms:
La (0.1664, 0.1664, 0.4983)
La (0.8336, 0.8336, 0.5017)
Tb (0.3517, 0.3517, 0.8325)
Tb (0.6483, 0.6483, 0.1675)
Pr (0.0185, 0.0185, 0.8358)
Pr (0.3140, 0.3140, 0.1669)
Pr (0.6860, 0.6860, 0.8331)
Pr (0.9815, 0.9815, 0.1642)
Sm (0.5000, 0.5000, 0.5000)



No. 2
This record from the Alexandria database describes a geometry-optimized ZrNbBi structure. The functional is PBE.

As for the space-group type: I4mm. Its energy is -0.5554 Ry per atom.

abc: 5.4463 5.4463 5.4463
angles: 140.03 140.03 57.80
Fractional coordinates of all 3 atoms:
Zr (0.0000, 0.0000, 0.0000)
Nb (0.3412, 0.3412, 0.0000)
Bi (0.6765, 0.6765, 0.0000)



No. 3
This record from the Alexandria database describes a geometry-optimized Ce2Al4GaAu3 structure. The functional is PBE.

As for the space-group type: P-4m2. Its energy is -0.3395 Ry per atom.

abc: 4.3754 4.3754 10.5974
angles: 90.00 90.00 90.00
Fractional coordinates of all 10 atoms:
Ce (0.0000, 0.5000, 0.2464)
Ce (0.5000, 0.0000, 0.7536)
Al (0.0000, 0.0000, 0.5000)
Al (0.0000, 0.5000, 0.8651)
Al (0.5000, 0.0000, 0.1349)
Al (0.5000, 0.5000, 0.5000)
Ga (0.5000, 0.5000, 0.0000)
Au (0.0000, 0.0000, 0.0000)
Au (0.0000, 0.5000, 0.6306)
Au (0.5000, 0.0000, 0.3694)



No. 4
This record from the Alexandria database describes a geometry-optimized Be4CuSe structure. The functional is PBE.

As for the space-group type: F-43m. As for the formation energy (no corrections): 0.345 eV per atom.

abc: 4.5215 4.5215 4.5215
angles: 60.00 60.00 60.00
Fractional coordinates of all 6 atoms:
Be (0.1236, 0.1236, 0.1236)
Be (0.1236, 0.1236, 0.6291)
Be (0.1236, 0.6291, 0.1236)
Be (0.6291, 0.1236, 0.1236)
Cu (0.7500, 0.7500, 0.7500)
Se (0.5000, 0.5000, 0.5000)



No. 5
This record from the Alexandria database describes a geometry-optimized Ti4Co3Tc structure. The functional is PBE.

As for the space-group type: R-3m. Its energy is -0.6136 Ry per atom.

abc: 7.3478 7.3478 7.3478
angles: 33.73 33.73 33.73
Fractional coordinates of all 8 atoms:
Ti (0.1237, 0.1237, 0.1237)
Ti (0.3737, 0.3737, 0.3737)
Ti (0.6263, 0.6263, 0.6263)
Ti (0.8763, 0.8763, 0.8763)
Co (0.0000, 0.0000, 0.0000)
Co (0.2513, 0.2513, 0.2513)
Co (0.7487, 0.7487, 0.7487)
Tc (0.5000, 0.5000, 0.5000)



No. 6
This record from the Alexandria database describes a geometry-optimized FeBIr2 structure. The functional is PBE.

As for the space-group type: R3m. Its energy is -0.6056 Ry per atom.

abc: 7.5583 7.5583 7.5583
angles: 21.10 21.10 21.10
Fractional coordinates of all 4 atoms:
Fe (0.0000, 0.0000, 0.0000)
B (0.8339, 0.8339, 0.8339)
Ir (0.2357, 0.2357, 0.2357)
Ir (0.4319, 0.4319, 0.4319)



No. 7
This record from the Alexandria database describes a geometry-optimized Mo2BrN structure. The functional is PBE.

As for the energy above the most stable polymorph in this dataset: 0.7301 eV per atom. As for the space-group type: Fm-3m. As for the formation energy (no corrections): 1.148 eV per atom.

abc: 4.2236 4.2236 4.2236
angles: 60.00 60.00 60.00
Fractional coordinates of all 4 atoms:
Mo (0.2500, 0.2500, 0.2500)
Mo (0.7500, 0.7500, 0.7500)
Br (0.0000, 0.0000, 0.0000)
N (0.5000, 0.5000, 0.5000)



No. 8
This record from the Alexandria database describes a geometry-optimized ZnIrCl2 structure. The functional is PBE.

As for the energy above the most stable polymorph in this dataset: 0.8310 eV per atom. As for the space-group type: P4/mmm. As for the formation energy (no corrections): 0.621 eV per atom.

abc: 2.9478 2.9478 10.9644
angles: 90.00 90.00 90.00
Fractional coordinates of all 4 atoms:
Zn (0.0000, 0.0000, 0.0000)
Ir (0.0000, 0.0000, 0.5000)
Cl (0.5000, 0.5000, 0.1409)
Cl (0.5000, 0.5000, 0.8591)



No. 9
This record from the Alexandria database describes a geometry-optimized DyEr7Tm12 structure. The functional is PBE.

As for the energy above the most stable polymorph in this dataset: 0.4390 eV per atom. As for the space-group type: Im-3m.

abc: 9.6262 9.6262 9.6262
angles: 109.47 109.47 109.47
Fractional coordinates of all 20 atoms:
Dy (0.0000, 0.0000, 0.0000)
Er (0.0000, 0.0000, 0.5000)
Er (0.0000, 0.5000, 0.0000)
Er (0.0000, 0.5000, 0.5000)
Er (0.5000, 0.0000, 0.0000)
Er (0.5000, 0.0000, 0.5000)
Er (0.5000, 0.5000, 0.0000)
Er (0.5000, 0.5000, 0.5000)
Tm (0.0000, 0.2519, 0.7481)
Tm (0.0000, 0.7481, 0.2519)
Tm (0.2519, 0.0000, 0.7481)
Tm (0.2519, 0.2519, 0.5038)
Tm (0.2519, 0.5038, 0.2519)
Tm (0.2519, 0.7481, 0.0000)
Tm (0.4962, 0.7481, 0.7481)
Tm (0.5038, 0.2519, 0.2519)
Tm (0.7481, 0.0000, 0.2519)
Tm (0.7481, 0.2519, 0.0000)
Tm (0.7481, 0.4962, 0.7481)
Tm (0.7481, 0.7481, 0.4962)



No. 10
This record from the Alexandria database describes a geometry-optimized K3Sc3MnSe8 structure. The functional is PBE.

As for the space-group type: R-3m. As for the formation energy (no corrections): -1.360 eV per atom.

abc: 9.0059 9.0059 9.0059
angles: 51.32 51.32 51.32
Fractional coordinates of all 15 atoms:
K (0.0000, 0.5000, 0.5000)
K (0.5000, 0.0000, 0.5000)
K (0.5000, 0.5000, 0.0000)
Sc (0.0000, 0.0000, 0.5000)
Sc (0.0000, 0.5000, 0.0000)
Sc (0.5000, 0.0000, 0.0000)
Mn (0.5000, 0.5000, 0.5000)
Se (0.2319, 0.2319, 0.2319)
Se (0.2467, 0.7193, 0.7193)
Se (0.2807, 0.2807, 0.7533)
Se (0.2807, 0.7533, 0.2807)
Se (0.7193, 0.2467, 0.7193)
Se (0.7193, 0.7193, 0.2467)
Se (0.7533, 0.2807, 0.2807)
Se (0.7681, 0.7681, 0.7681)



No. 11
This record from the Alexandria database describes a geometry-optimized La6GeOs2I3 structure. The functional is PBE.

As for the space-group type: C2/m. As for the formation energy (no corrections): -0.832 eV per atom.

abc: 7.5113 7.5113 8.5201
angles: 98.60 98.60 119.95
Fractional coordinates of all 12 atoms:
La (0.0856, 0.4403, 0.8113)
La (0.2083, 0.2083, 0.1871)
La (0.4403, 0.0856, 0.8113)
La (0.5597, 0.9144, 0.1887)
La (0.7917, 0.7917, 0.8129)
La (0.9144, 0.5597, 0.1887)
Ge (0.5000, 0.5000, 0.0000)
Os (0.1672, 0.8328, 0.0000)
Os (0.8328, 0.1672, 0.0000)
I (0.0000, 0.0000, 0.5000)
I (0.3376, 0.6624, 0.5000)
I (0.6624, 0.3376, 0.5000)



No. 12
This record from the Alexandria database describes a geometry-optimized SrTlIn2Cl6 structure. The functional is PBE.

As for the space-group type: P1. As for the formation energy (no corrections): -1.352 eV per atom.

abc: 7.4663 7.4713 8.2976
angles: 90.04 116.72 119.97
Fractional coordinates of all 10 atoms:
Sr (0.0000, 0.0000, 0.0000)
Tl (0.0285, 0.5144, 0.5430)
In (0.6073, 0.8040, 0.4109)
In (0.6298, 0.3151, 0.9446)
Cl (0.0933, 0.7026, 0.1922)
Cl (0.1514, 0.9658, 0.7350)
Cl (0.4895, 0.3910, 0.1920)
Cl (0.5498, 0.5841, 0.7348)
Cl (0.7695, 0.1854, 0.7349)
Cl (0.8009, 0.0989, 0.1919)



No. 13
This record from the Alexandria database describes a geometry-optimized Pb3WCl structure. The functional is PBE.

As for the energy above the most stable polymorph in this dataset: 0.0000 eV per atom. As for the space-group type: Pm-3m. As for the formation energy (no corrections): 0.249 eV per atom.

abc: 5.3977 5.3977 5.3977
angles: 90.00 90.00 90.00
Fractional coordinates of all 5 atoms:
Pb (0.0000, 0.0000, 0.5000)
Pb (0.0000, 0.5000, 0.0000)
Pb (0.5000, 0.0000, 0.0000)
W (0.0000, 0.0000, 0.0000)
Cl (0.5000, 0.5000, 0.5000)



No. 14
This record from the Alexandria database describes a geometry-optimized MnAl2Cr structure. The functional is PBE.

As for the space-group type: Immm. Its energy is -0.4840 Ry per atom.

abc: 4.8015 4.8015 4.8015
angles: 143.30 128.64 64.77
Fractional coordinates of all 4 atoms:
Mn (0.0000, 0.0000, 0.0000)
Al (0.2452, 0.7452, 0.5000)
Al (0.7548, 0.2548, 0.5000)
Cr (0.5000, 0.5000, 0.0000)



No. 15
This record from the Alexandria database describes a geometry-optimized Mg3ZnNi structure. The functional is PBE.

As for the energy above the most stable polymorph in this dataset: 0.3176 eV per atom. As for the space-group type: Pm-3m.

abc: 4.8038 4.8038 4.8038
angles: 90.00 90.00 90.00
Fractional coordinates of all 5 atoms:
Mg (0.0000, 0.0000, 0.5000)
Mg (0.0000, 0.5000, 0.0000)
Mg (0.5000, 0.0000, 0.0000)
Zn (0.5000, 0.5000, 0.5000)
Ni (0.0000, 0.0000, 0.0000)



No. 16
This record from the Alexandria database describes a geometry-optimized HfHg structure. The functional is PBE.

As for the space-group type: I4/m. Its energy is -0.3695 Ry per atom.

abc: 7.8607 7.8607 7.8607
angles: 92.44 92.44 156.20
Fractional coordinates of all 8 atoms:
Hf (0.0993, 0.3675, 0.4667)
Hf (0.3675, 0.9007, 0.2682)
Hf (0.6325, 0.0993, 0.7318)
Hf (0.9007, 0.6325, 0.5333)
Hg (0.0965, 0.8338, 0.9303)
Hg (0.1662, 0.0965, 0.2627)
Hg (0.8338, 0.9035, 0.7373)
Hg (0.9035, 0.1662, 0.0697)



No. 17
This record from the Alexandria database describes a geometry-optimized PmTmPaPb structure. The functional is PBE.

As for the space-group type: F-43m. Its energy is -0.3996 Ry per atom.

abc: 5.4148 5.4148 5.4148
angles: 60.00 60.00 60.00
Fractional coordinates of all 4 atoms:
Pm (0.0000, 0.0000, 0.0000)
Tm (0.5000, 0.5000, 0.5000)
Pa (0.7500, 0.7500, 0.7500)
Pb (0.2500, 0.2500, 0.2500)



No. 18
This record from the Alexandria database describes a geometry-optimized Gd3Sc5O12 structure. The functional is PBE.

As for the space-group type: Ia-3d. As for the formation energy (no corrections): -3.445 eV per atom.

abc: 11.2250 11.2250 11.2250
angles: 109.47 109.47 109.47
Fractional coordinates of all 80 atoms:
Gd (0.1250, 0.2500, 0.3750)
Gd (0.1250, 0.3750, 0.7500)
Gd (0.2500, 0.3750, 0.1250)
Gd (0.2500, 0.8750, 0.6250)
Gd (0.3750, 0.1250, 0.2500)
Gd (0.3750, 0.7500, 0.1250)
Gd (0.6250, 0.2500, 0.8750)
Gd (0.6250, 0.8750, 0.7500)
Gd (0.7500, 0.1250, 0.3750)
Gd (0.7500, 0.6250, 0.8750)
Gd (0.8750, 0.6250, 0.2500)
Gd (0.8750, 0.7500, 0.6250)
Sc (0.0000, 0.0000, 0.0000)
Sc (0.0000, 0.0000, 0.5000)
Sc (0.0000, 0.5000, 0.0000)
Sc (0.0000, 0.5000, 0.5000)
Sc (0.1250, 0.7500, 0.8750)
Sc (0.1250, 0.8750, 0.2500)
Sc (0.2500, 0.1250, 0.8750)
Sc (0.2500, 0.6250, 0.3750)
Sc (0.3750, 0.2500, 0.6250)
Sc (0.3750, 0.6250, 0.7500)
Sc (0.5000, 0.0000, 0.0000)
Sc (0.5000, 0.0000, 0.5000)
Sc (0.5000, 0.5000, 0.0000)
Sc (0.5000, 0.5000, 0.5000)
Sc (0.6250, 0.3750, 0.2500)
Sc (0.6250, 0.7500, 0.3750)
Sc (0.7500, 0.3750, 0.6250)
Sc (0.7500, 0.8750, 0.1250)
Sc (0.8750, 0.1250, 0.7500)
Sc (0.8750, 0.2500, 0.1250)
O (0.0341, 0.2105, 0.1271)
O (0.0341, 0.3236, 0.9070)
O (0.0834, 0.7105, 0.6764)
O (0.0834, 0.8729, 0.4070)
O (0.0930, 0.6271, 0.4166)
O (0.0930, 0.9659, 0.6764)
O (0.1271, 0.0341, 0.2105)
O (0.1271, 0.5930, 0.9166)
O (0.1764, 0.2105, 0.5834)
O (0.1764, 0.4659, 0.5930)
O (0.2105, 0.1271, 0.0341)
O (0.2105, 0.5834, 0.1764)
O (0.2895, 0.3236, 0.9166)
O (0.2895, 0.4659, 0.3729)
O (0.3236, 0.9070, 0.0341)
O (0.3236, 0.9166, 0.2895)
O (0.3729, 0.2895, 0.4659)
O (0.3729, 0.5834, 0.9070)
O (0.4070, 0.0834, 0.8729)
O (0.4070, 0.8236, 0.5341)
O (0.4166, 0.0930, 0.6271)
O (0.4166, 0.8236, 0.7895)
O (0.4659, 0.3729, 0.2895)
O (0.4659, 0.5930, 0.1764)
O (0.5341, 0.4070, 0.8236)
O (0.5341, 0.6271, 0.7105)
O (0.5834, 0.1764, 0.2105)
O (0.5834, 0.9070, 0.3729)
O (0.5930, 0.1764, 0.4659)
O (0.5930, 0.9166, 0.1271)
O (0.6271, 0.4166, 0.0930)
O (0.6271, 0.7105, 0.5341)
O (0.6764, 0.0834, 0.7105)
O (0.6764, 0.0930, 0.9659)
O (0.7105, 0.5341, 0.6271)
O (0.7105, 0.6764, 0.0834)
O (0.7895, 0.4166, 0.8236)
O (0.7895, 0.8729, 0.9659)
O (0.8236, 0.5341, 0.4070)
O (0.8236, 0.7895, 0.4166)
O (0.8729, 0.4070, 0.0834)
O (0.8729, 0.9659, 0.7895)
O (0.9070, 0.0341, 0.3236)
O (0.9070, 0.3729, 0.5834)
O (0.9166, 0.1271, 0.5930)
O (0.9166, 0.2895, 0.3236)
O (0.9659, 0.6764, 0.0930)
O (0.9659, 0.7895, 0.8729)



No. 19
This record from the Alexandria database describes a geometry-optimized BiPAu2 structure. The functional is PBE.

As for the energy above the most stable polymorph in this dataset: 0.2607 eV per atom. As for the space-group type: Fm-3m.

abc: 4.9018 4.9018 4.9018
angles: 60.00 60.00 60.00
Fractional coordinates of all 4 atoms:
Bi (0.0000, 0.0000, 0.0000)
P (0.5000, 0.5000, 0.5000)
Au (0.2500, 0.2500, 0.2500)
Au (0.7500, 0.7500, 0.7500)



No. 20
This record from the Alexandria database describes a geometry-optimized Tb2AgGe4Pt3 structure. The functional is PBE.

As for the space-group type: P-4m2. Its energy is -0.4141 Ry per atom.

abc: 4.3022 4.3022 10.3542
angles: 90.00 90.00 90.00
Fractional coordinates of all 10 atoms:
Tb (0.0000, 0.5000, 0.2481)
Tb (0.5000, 0.0000, 0.7519)
Ag (0.5000, 0.5000, 0.0000)
Ge (0.0000, 0.0000, 0.5000)
Ge (0.0000, 0.5000, 0.8604)
Ge (0.5000, 0.0000, 0.1396)
Ge (0.5000, 0.5000, 0.5000)
Pt (0.0000, 0.0000, 0.0000)
Pt (0.0000, 0.5000, 0.6256)
Pt (0.5000, 0.0000, 0.3744)



No. 21
This record from the Alexandria database describes a geometry-optimized TiTlI2Br structure. The functional is PBE.

As for the space-group type: P4/mmm. As for the formation energy (no corrections): -0.639 eV per atom.

abc: 5.8469 5.8469 5.1256
angles: 90.00 90.00 90.00
Fractional coordinates of all 5 atoms:
Ti (0.0000, 0.0000, 0.0000)
Tl (0.5000, 0.5000, 0.5000)
I (0.0000, 0.5000, 0.0000)
I (0.5000, 0.0000, 0.0000)
Br (0.0000, 0.0000, 0.5000)